Entry 1:
A relaxed structure of ThNpU2P4. Source: the Alexandria database, functional PBE.

abc: 6.9079 3.9876 6.9417
angles: 90.00 109.35 90.00
Space group P2/m (No. 10)
Inequivalent atoms, fractional coordinates:
Th 0.0000 0.0000 0.0000 [1 per cell]
Np 0.5000 0.5000 0.0000 [1 per cell]
U 0.0000 0.5000 0.5000 [1 per cell]
U 0.5000 0.0000 0.5000 [1 per cell]
P 0.2546 0.0000 0.7433 [2 per cell]
P 0.2598 0.5000 0.2628 [2 per cell]

Properties
Crystal system   monoclinic
Electronic total energy   -0.33582 hartree per atom
Energy of formation   -102.9 kJ per mole of atoms
DOS at the Fermi energy   19.3 states/eV per cell

=====

Entry 2:
A relaxed structure of Li3CaMg. Source: the Alexandria database, functional PBE.

abc: 6.1770 14.1591 5.8426
angles: 90.00 90.00 90.00
Space group Cmcm (No. 63)
Inequivalent atoms, fractional coordinates:
Li 0.0000 0.1842 0.2500 [4 per cell]
Li 0.2304 0.1600 0.7500 [8 per cell]
Ca 0.0000 0.4090 0.7500 [4 per cell]
Mg 0.0000 0.0000 0.0000 [4 per cell]

Properties
Crystal system   orthorhombic
Electronic total energy   -0.06853 hartree per atom
Energy of formation   0.3 kJ per mole of atoms
DOS at the Fermi energy   10.3 states/eV per cell

=====

Entry 3:
A relaxed structure of Cr2BiPb. Source: the Alexandria database, functional PBE.

abc: 7.7350 7.7350 6.5217
angles: 90.00 90.00 90.00
Space group I-42d (No. 122)
Inequivalent atoms, fractional coordinates:
Cr 0.2468 0.2500 0.1250 [8 per cell]
Bi 0.0000 0.0000 0.0000 [4 per cell]
Pb 0.0000 0.0000 0.5000 [4 per cell]

Properties
Crystal system   tetragonal
Electronic total energy   -0.21872 hartree per atom
Energy of formation   73.1 kJ per mole of atoms
DOS at the Fermi energy   10.9 states/eV per cell

=====

The highest DOS at the Fermi energy belongs to which entry?
ThNpU2P4

=====

Copy entry 1 word for word.
A relaxed structure of ThNpU2P4. Source: the Alexandria database, functional PBE.

abc: 6.9079 3.9876 6.9417
angles: 90.00 109.35 90.00
Space group P2/m (No. 10)
Inequivalent atoms, fractional coordinates:
Th 0.0000 0.0000 0.0000 [1 per cell]
Np 0.5000 0.5000 0.0000 [1 per cell]
U 0.0000 0.5000 0.5000 [1 per cell]
U 0.5000 0.0000 0.5000 [1 per cell]
P 0.2546 0.0000 0.7433 [2 per cell]
P 0.2598 0.5000 0.2628 [2 per cell]

Properties
Crystal system   monoclinic
Electronic total energy   -0.33582 hartree per atom
Energy of formation   -102.9 kJ per mole of atoms
DOS at the Fermi energy   19.3 states/eV per cell

=====

Which value of energy of formation does entry 3 give?
73.1 kJ per mole of atoms